# 1
A crystal of ZrOsF3 relaxed with PBEsol. Source: the Alexandria database, functional meta-GGA SCAN.

Results
DOS(E_F) (states/eV per atom): 0.539
Size of the total moment (μB per formula unit): 2.69

Cell lengths 4.1935, 4.1935, 4.1935 Å; angles 90.00, 90.00, 90.00 degrees
Fractional positions:
Zr  0.0000  0.0000  0.0000
Os  0.5000  0.5000  0.5000
F  0.0000  0.5000  0.5000
F  0.5000  0.0000  0.5000
F  0.5000  0.5000  0.0000



# 2
A crystal of PF5 relaxed with PBEsol. Source: the Alexandria database, functional meta-GGA SCAN.

Results
DOS(E_F) (states/eV per atom): 0.000
Size of the total moment (μB per formula unit): 0.11

Cell lengths 5.5735, 5.5735, 6.2277 Å; angles 90.00, 90.00, 120.00 degrees
Fractional positions:
P  0.3333  0.6667  0.2500
P  0.6667  0.3333  0.7500
F  0.1726  0.3453  0.2500
F  0.1726  0.8274  0.2500
F  0.3333  0.6667  0.5074
F  0.3333  0.6667  0.9926
F  0.3453  0.1726  0.7500
F  0.6547  0.8274  0.2500
F  0.6667  0.3333  0.0074
F  0.6667  0.3333  0.4926
F  0.8274  0.1726  0.7500
F  0.8274  0.6547  0.7500



# 3
A crystal of PPbF2 relaxed with PBEsol. Source: the Alexandria database, functional meta-GGA SCAN.

Results
DOS(E_F) (states/eV per atom): 0.224
Size of the total moment (μB per formula unit): 0.00

Cell lengths 8.4139, 8.4139, 8.4139 Å; angles 152.43, 152.43, 39.38 degrees
Fractional positions:
P  0.0000  0.0000  0.0000
P  0.7500  0.2500  0.5000
Pb  0.2500  0.7500  0.5000
Pb  0.5000  0.5000  0.0000
F  0.0873  0.6250  0.9623
F  0.3750  0.3373  0.4623
F  0.6627  0.1250  0.0377
F  0.8750  0.9127  0.5377



| no. | E_form (uncorrected) (eV/f.u.) |
| --- | --- |
| 1 | -1.9 |
| 2 | -16.3 |
| 3 | -3.9 |